Record 1
SmNbOs2 after structural relaxation, computed with PBE-GGA.

abc: 3.2216 3.2216 7.1676
angles: 90.00 90.00 90.00
With the nearest neighbours (Å) after each atom.
Atoms (fractional coordinates):
Sm 0.0000 0.0000 0.0000  8 Os 3.08, 4 Sm 3.22
Nb 0.0000 0.0000 0.5000  8 Os 2.74
Os 0.5000 0.5000 0.2884  4 Nb 2.74, 1 Os 3.03
Os 0.5000 0.5000 0.7116  4 Nb 2.74, 1 Os 3.03

Results
- magnetization (μB/f.u.) = 0.00
- symmetry = P4/mmm (123)
- D(E_F) (states/eV/f.u.) = 1.33
- final energy (eV/atom) = -9.40
- theoretical density (g/cm3) = 13.92

***

Record 2
GeHS2Cl after structural relaxation, computed with PBE-GGA.

abc: 3.8399 3.8399 5.5841
angles: 90.00 90.00 90.00
With the nearest neighbours (Å) after each atom.
Atoms (fractional coordinates):
Ge 0.0000 0.0000 0.0000  4 Cl 2.72, 2 H 2.79
H 0.0000 0.0000 0.5000  4 S 1.92
S 0.0000 0.5000 0.5000  2 H 1.92
S 0.5000 0.0000 0.5000  2 H 1.92
Cl 0.5000 0.5000 0.0000  4 Ge 2.72

Results
- magnetization (μB/f.u.) = 0.00
- symmetry = P4/mmm (123)
- D(E_F) (states/eV/f.u.) = 1.14
- final energy (eV/atom) = -3.18
- energy above the most stable polymorph in this dataset (kJ/mol of formula units) = 19
- theoretical density (g/cm3) = 3.49

***

Record 3
CuRe2Mo after structural relaxation, computed with PBE-GGA.

abc: 5.2305 5.2305 2.6615
angles: 102.11 102.11 117.84
With the nearest neighbours (Å) after each atom.
Atoms (fractional coordinates):
Cu 0.0000 0.0000 0.0000  2 Cu 2.66, 4 Re 2.67, 4 Mo 2.70-2.92
Re 0.0000 0.5000 0.5000  6 Re 2.66-2.92, 2 Mo 2.67, 2 Cu 2.67
Re 0.5000 0.0000 0.5000  6 Re 2.66-2.92, 2 Mo 2.67, 2 Cu 2.67
Mo 0.5000 0.5000 0.0000  2 Mo 2.66, 4 Re 2.67, 4 Cu 2.70-2.92

Results
- magnetization (μB/f.u.) = 0.00
- symmetry = C2/m (12)
- D(E_F) (states/eV/f.u.) = 3.15
- final energy (eV/atom) = -9.69
- energy above the most stable polymorph in this dataset (kJ/mol of formula units) = 34
- theoretical density (g/cm3) = 15.01

***

Record 4
AlMoIr2 after structural relaxation, computed with PBE-GGA.

abc: 4.3800 4.3800 4.3800
angles: 60.00 60.00 60.00
With the nearest neighbours (Å) after each atom.
Atoms (fractional coordinates):
Al 0.0000 0.0000 0.0000  4 Mo 2.68, 4 Ir 2.68
Mo 0.7500 0.7500 0.7500  4 Al 2.68, 4 Ir 2.68
Ir 0.2500 0.2500 0.2500  4 Ir 2.68, 4 Al 2.68
Ir 0.5000 0.5000 0.5000  4 Mo 2.68, 4 Ir 2.68

Results
- magnetization (μB/f.u.) = 0.01
- symmetry = F-43m (216)
- D(E_F) (states/eV/f.u.) = 6.02
- final energy (eV/atom) = -8.21
- energy above the most stable polymorph in this dataset (kJ/mol of formula units) = 186
- theoretical density (g/cm3) = 14.18

***

Record 5
SrV2Ag after structural relaxation, computed with PBE-GGA.

abc: 5.0135 5.0135 5.0135
angles: 60.00 60.00 60.00
With the nearest neighbours (Å) after each atom.
Atoms (fractional coordinates):
Sr 0.0000 0.0000 0.0000  8 V 3.07
V 0.2500 0.2500 0.2500  4 Sr 3.07, 4 Ag 3.07
V 0.7500 0.7500 0.7500  4 Sr 3.07, 4 Ag 3.07
Ag 0.5000 0.5000 0.5000  8 V 3.07

Results
- magnetization (μB/f.u.) = 7.29
- symmetry = Fm-3m (225)
- D(E_F) (states/eV/f.u.) = 8.05
- final energy (eV/atom) = -4.70
- energy above the most stable polymorph in this dataset (kJ/mol of formula units) = 50
- theoretical density (g/cm3) = 5.54

***

Record 6
NpAlP2Rh5 after structural relaxation, computed with PBE-GGA.

abc: 4.0446 4.0446 9.5926
angles: 90.00 90.00 90.00
With the nearest neighbours (Å) after each atom.
Atoms (fractional coordinates):
Np 0.0000 0.0000 0.0000  4 Rh 2.86
Al 0.0000 0.0000 0.5000  8 Rh 2.53
P 0.5000 0.5000 0.2368  5 Rh 2.26-2.27
P 0.5000 0.5000 0.7632  5 Rh 2.26-2.27
Rh 0.0000 0.5000 0.3420  2 P 2.26, 2 Al 2.53
Rh 0.0000 0.5000 0.6580  2 P 2.26, 2 Al 2.53
Rh 0.5000 0.0000 0.3420  2 P 2.26, 2 Al 2.53
Rh 0.5000 0.0000 0.6580  2 P 2.26, 2 Al 2.53
Rh 0.5000 0.5000 0.0000  2 P 2.27

Results
- magnetization (μB/f.u.) = 3.93
- symmetry = P4/mmm (123)
- D(E_F) (states/eV/f.u.) = 10.35
- final energy (eV/atom) = -7.76
- theoretical density (g/cm3) = 8.89

***

Record 7
Mg3CuSe after structural relaxation, computed with PBE-GGA.

abc: 7.4402 7.4402 4.5413
angles: 90.00 90.00 120.00
With the nearest neighbours (Å) after each atom.
Atoms (fractional coordinates):
Mg 0.1854 0.3707 0.2500  2 Cu 2.64
Mg 0.1854 0.8146 0.2500  2 Cu 2.64
Mg 0.3707 0.1854 0.7500  2 Cu 2.64
Mg 0.6293 0.8146 0.2500  2 Cu 2.64
Mg 0.8146 0.1854 0.7500  2 Cu 2.64
Mg 0.8146 0.6293 0.7500  2 Cu 2.64
Cu 0.0000 0.0000 0.0000  2 Cu 2.27
Cu 0.0000 0.0000 0.5000  2 Cu 2.27
Se 0.3333 0.6667 0.7500  6 Mg 2.97
Se 0.6667 0.3333 0.2500  6 Mg 2.97

Results
- magnetization (μB/f.u.) = 0.00
- symmetry = P6_3/mmc (194)
- D(E_F) (states/eV/f.u.) = 1.99
- final energy (eV/atom) = -2.68
- E_form (uncorrected) (eV/atom) = -0.20
- energy above the most stable polymorph in this dataset (kJ/mol of formula units) = 16
- theoretical density (g/cm3) = 3.29

***

Record 8
ZrAgTe after structural relaxation, computed with PBE-GGA.

abc: 4.6635 4.6635 3.6500
angles: 90.00 90.00 120.00
With the nearest neighbours (Å) after each atom.
Atoms (fractional coordinates):
Zr 0.0000 0.0000 0.0000  3 Ag 2.87, 3 Te 3.14
Ag 0.6667 0.3333 0.2757  3 Zr 2.87, 3 Te 2.88
Te 0.3333 0.6667 0.5585  3 Ag 2.88, 3 Zr 3.14

Results
- magnetization (μB/f.u.) = 0.00
- symmetry = P3m1 (156)
- D(E_F) (states/eV/f.u.) = 2.98
- final energy (eV/atom) = -4.87
- E_form (uncorrected) (eV/atom) = -0.02
- energy above the most stable polymorph in this dataset (kJ/mol of formula units) = 65
- theoretical density (g/cm3) = 7.89

***

Record 9
BaAgN after structural relaxation, computed with PBE-GGA.

abc: 6.0495 6.0495 9.3828
angles: 90.00 90.00 120.00
With the nearest neighbours (Å) after each atom.
Atoms (fractional coordinates):
Ba 0.0000 0.0000 0.2500  2 N 2.35
Ba 0.0000 0.0000 0.7500  2 N 2.35
Ag 0.3333 0.6667 0.2500  3 Ba 3.49
Ag 0.6667 0.3333 0.7500  3 Ba 3.49
N 0.0000 0.0000 0.0000  2 Ba 2.35
N 0.0000 0.0000 0.5000  2 Ba 2.35

Results
- magnetization (μB/f.u.) = 0.85
- symmetry = P6_3/mmc (194)
- D(E_F) (states/eV/f.u.) = 3.31
- final energy (eV/atom) = -3.16
- E_form (uncorrected) (eV/atom) = 1.20
- theoretical density (g/cm3) = 2.89

***

Record 10
DyRe2SiC after structural relaxation, computed with PBE-GGA.

abc: 5.7919 5.7919 7.3222
angles: 90.00 90.00 140.19
With the nearest neighbours (Å) after each atom.
Atoms (fractional coordinates):
Dy 0.0421 0.9579 0.7500  4 C 2.73, 1 Si 3.02
Dy 0.9579 0.0421 0.2500  4 C 2.73, 1 Si 3.02
Re 0.3257 0.6743 0.5606  1 C 1.95
Re 0.3257 0.6743 0.9394  1 C 1.95
Re 0.6743 0.3257 0.0606  1 C 1.95
Re 0.6743 0.3257 0.4394  1 C 1.95
Si 0.2351 0.7649 0.2500  6 Re 2.48-2.50
Si 0.7649 0.2351 0.7500  6 Re 2.48-2.50
C 0.5000 0.5000 0.0000  2 Re 1.95
C 0.5000 0.5000 0.5000  2 Re 1.95

Results
- magnetization (μB/f.u.) = 0.00
- symmetry = Cmcm (63)
- D(E_F) (states/eV/f.u.) = 2.11
- final energy (eV/atom) = -9.29
- E_form (uncorrected) (eV/atom) = -0.46
- theoretical density (g/cm3) = 12.14

***

Record 11
BaCd2H after structural relaxation, computed with PBE-GGA.

abc: 6.6495 6.6495 6.6495
angles: 60.00 60.00 60.00
With the nearest neighbours (Å) after each atom.
Atoms (fractional coordinates):
Ba 0.1250 0.1250 0.1250  12 Cd 3.90, 4 Ba 4.07, 4 H 4.07
Ba 0.8750 0.8750 0.8750  12 Cd 3.90, 4 H 4.07, 4 Ba 4.07
Cd 0.0000 0.5000 0.5000  2 H 2.04
Cd 0.5000 0.0000 0.5000  2 H 2.04
Cd 0.5000 0.5000 0.0000  2 H 2.04
Cd 0.5000 0.5000 0.5000  2 H 2.04
H 0.3750 0.3750 0.3750  4 Cd 2.04
H 0.6250 0.6250 0.6250  4 Cd 2.04

Results
- magnetization (μB/f.u.) = 0.00
- symmetry = Fd-3m (227)
- D(E_F) (states/eV/f.u.) = 3.78
- final energy (eV/atom) = -1.68
- energy above the most stable polymorph in this dataset (kJ/mol of formula units) = 0
- theoretical density (g/cm3) = 5.80

***

Record 12
TbNd9Tl2 after structural relaxation, computed with PBE-GGA.

abc: 5.0135 5.0135 15.4274
angles: 90.00 90.00 90.00
With the nearest neighbours (Å) after each atom.
Atoms (fractional coordinates):
Tb 0.0000 0.0000 0.0000  12 Nd 3.55-3.66
Nd 0.0000 0.5000 0.1725  8 Nd 3.55-3.66, 2 Tl 3.59, 2 Tb 3.66
Nd 0.0000 0.5000 0.5000  4 Tl 3.53, 8 Nd 3.55
Nd 0.0000 0.5000 0.8275  8 Nd 3.55-3.66, 2 Tl 3.59, 2 Tb 3.66
Nd 0.5000 0.0000 0.1725  8 Nd 3.55-3.66, 2 Tl 3.59, 2 Tb 3.66
Nd 0.5000 0.0000 0.5000  4 Tl 3.53, 8 Nd 3.55
Nd 0.5000 0.0000 0.8275  8 Nd 3.55-3.66, 2 Tl 3.59, 2 Tb 3.66
Nd 0.5000 0.5000 0.0000  4 Tb 3.55, 8 Nd 3.66
Nd 0.5000 0.5000 0.3372  4 Tl 3.55, 8 Nd 3.55-3.57
Nd 0.5000 0.5000 0.6628  4 Tl 3.55, 8 Nd 3.55-3.57
Tl 0.0000 0.0000 0.3391  12 Nd 3.53-3.59
Tl 0.0000 0.0000 0.6609  12 Nd 3.53-3.59

Results
- magnetization (μB/f.u.) = 0.00
- symmetry = P4/mmm (123)
- D(E_F) (states/eV/f.u.) = 15.28
- final energy (eV/atom) = -4.48
- theoretical density (g/cm3) = 7.99